1.
A plane-wave DFT calculation with GGA-PBE was carried out for a relaxed structure of Hg2P2Pb. Values from VASP.

```
&SYSTEM
  ibrav = 0, nat = 5, ntyp = 3
/
ATOMIC_SPECIES
P 30.97 P.upf
Hg 200.59 Hg.upf
Pb 207.20 Pb.upf
ATOMIC_POSITIONS crystal
P 0.568 0.568 0.865
P 0.432 0.432 0.135
Hg 0.250 0.750 0.500
Hg 0.750 0.250 0.500
Pb 0.000 0.000 0.000
CELL_PARAMETERS angstrom
-0.908 3.991 0.847
-2.534 0.128 -3.321
-7.650 -0.231 3.199
```

As for the energy above the most stable polymorph in this dataset: 0 meV per atom. The value obtained for the calculated volume is 27.08 A^3/atom. For the energy relative to the elements, the calculation gives 216 meV/atom.


2.
A plane-wave DFT calculation with GGA-PBE was carried out for a relaxed structure of MgZnW. Values from VASP.

```
&SYSTEM
  ibrav = 0, nat = 3, ntyp = 3
/
ATOMIC_SPECIES
Mg 24.30 Mg.upf
Zn 65.41 Zn.upf
W 183.84 W.upf
ATOMIC_POSITIONS crystal
Mg 0.000 0.000 0.000
Zn 0.671 0.671 0.329
W 0.329 0.329 0.671
CELL_PARAMETERS angstrom
7.030 -0.005 0.004
6.381 2.662 0.007
0.650 -0.455 2.627
```

As for the energy above the most stable polymorph in this dataset: 0 meV per atom. The value obtained for the calculated volume is 16.42 A^3/atom. For the energy relative to the elements, the calculation gives 259 meV/atom.


3.
A plane-wave DFT calculation with GGA-PBE was carried out for a relaxed structure of Na2CeF8. Values from VASP.

```
&SYSTEM
  ibrav = 0, nat = 11, ntyp = 3
/
ATOMIC_SPECIES
F 19.00 F.upf
Ce 140.12 Ce.upf
Na 22.99 Na.upf
ATOMIC_POSITIONS crystal
F 0.796 0.754 0.593
F 0.965 0.185 0.931
F 0.588 0.441 0.175
F 0.337 0.952 0.674
F 0.204 0.246 0.407
F 0.412 0.559 0.825
F 0.663 0.048 0.326
F 0.035 0.815 0.069
Ce 0.500 0.000 0.000
Na 0.172 0.692 0.344
Na 0.828 0.308 0.656
CELL_PARAMETERS angstrom
-1.526 -1.783 3.171
-0.094 -4.401 -2.519
7.405 1.915 2.187
```

The value obtained for the calculated volume is 13.00 A^3/atom. As for the uncorrected formation energy: -28.87 eV/f.u.


4.
A plane-wave DFT calculation with GGA-PBE was carried out for a relaxed structure of SrCuF3. Values from VASP.

```
&SYSTEM
  ibrav = 0, nat = 5, ntyp = 3
/
ATOMIC_SPECIES
F 19.00 F.upf
Sr 87.62 Sr.upf
Cu 63.55 Cu.upf
ATOMIC_POSITIONS crystal
F 0.000 0.500 0.000
F 0.000 0.000 0.500
F 0.500 0.000 0.000
Sr 0.500 0.500 0.500
Cu 0.000 0.000 0.000
CELL_PARAMETERS angstrom
-3.403 -2.413 -0.410
2.340 -3.002 -1.758
0.718 -1.656 3.784
```

As for the energy above the most stable polymorph in this dataset: 0 meV per atom. The value obtained for the calculated volume is 14.73 A^3/atom. As for the uncorrected formation energy: -12.03 eV/f.u.


5.
A plane-wave DFT calculation with GGA-PBE was carried out for a relaxed structure of TbPt3Rh. Values from VASP.

```
&SYSTEM
  ibrav = 0, nat = 10, ntyp = 3
/
ATOMIC_SPECIES
Rh 102.91 Rh.upf
Tb 158.93 Tb.upf
Pt 195.08 Pt.upf
ATOMIC_POSITIONS crystal
Rh 0.000 0.000 0.000
Rh 0.500 0.000 0.000
Tb 0.750 0.667 0.333
Tb 0.250 0.333 0.667
Pt 0.750 0.200 0.399
Pt 0.750 0.200 0.800
Pt 0.250 0.800 0.200
Pt 0.250 0.800 0.601
Pt 0.250 0.399 0.200
Pt 0.750 0.601 0.800
CELL_PARAMETERS angstrom
-1.040 0.636 -5.150
-5.025 -4.071 0.511
-0.872 6.356 0.962
```

As for the energy above the most stable polymorph in this dataset: 75 meV per atom. The value obtained for the calculated volume is 19.30 A^3/atom. For the energy relative to the elements, the calculation gives -438 meV/atom.


6.
A plane-wave DFT calculation with GGA-PBE was carried out for a relaxed structure of HfGaH3. Values from VASP.

```
&SYSTEM
  ibrav = 0, nat = 5, ntyp = 3
/
ATOMIC_SPECIES
Ga 69.72 Ga.upf
Hf 178.49 Hf.upf
H 1.01 H.upf
ATOMIC_POSITIONS crystal
Ga 0.000 0.000 0.000
Hf 0.500 0.500 0.500
H 0.500 0.000 0.000
H 0.000 0.000 0.500
H 0.000 0.500 0.000
CELL_PARAMETERS angstrom
-1.059 -3.393 0.492
3.064 -0.706 1.728
-1.537 0.930 3.106
```

As for the energy above the most stable polymorph in this dataset: 443 meV per atom. The value obtained for the calculated volume is 9.24 A^3/atom.


7.
A plane-wave DFT calculation with GGA-PBE was carried out for a relaxed structure of AcNdSmHo. Values from VASP.

```
&SYSTEM
  ibrav = 0, nat = 4, ntyp = 4
/
ATOMIC_SPECIES
Nd 144.24 Nd.upf
Sm 150.36 Sm.upf
Ho 164.93 Ho.upf
Ac 227.00 Ac.upf
ATOMIC_POSITIONS crystal
Nd 0.667 0.333 0.184
Sm 0.000 0.000 0.429
Ho 0.667 0.333 0.665
Ac 0.333 0.667 0.921
CELL_PARAMETERS angstrom
-1.571 -3.370 0.362
0.726 1.367 -3.401
10.835 -5.019 0.295
```

As for the energy above the most stable polymorph in this dataset: 0 meV per atom. The value obtained for the calculated volume is 36.10 A^3/atom. For the energy relative to the elements, the calculation gives 48 meV/atom.


8.
A plane-wave DFT calculation with GGA-PBE was carried out for a relaxed structure of NaMg3Cu. Values from VASP.

```
&SYSTEM
  ibrav = 0, nat = 5, ntyp = 3
/
ATOMIC_SPECIES
Mg 24.30 Mg.upf
Cu 63.55 Cu.upf
Na 22.99 Na.upf
ATOMIC_POSITIONS crystal
Mg 0.000 0.500 0.000
Mg 0.500 0.000 0.000
Mg 0.000 0.000 0.500
Cu 0.000 0.000 0.000
Na 0.500 0.500 0.500
CELL_PARAMETERS angstrom
5.008 0.000 0.000
0.000 5.008 0.000
0.000 0.000 5.008
```

As for the energy above the most stable polymorph in this dataset: 0 meV per atom. The value obtained for the calculated volume is 25.12 A^3/atom. For the energy relative to the elements, the calculation gives 88 meV/atom.


Look up the calculated volume of the fifth one.
19.30 A^3/atom